No. 1
Compound: LaBe4Au12
Source: the Alexandria database
Functional: PBE-GGA
Structure: relaxed

Output
DOS(E_F), states/eV/cell: 6.39
Symmetry: No. 204
Energy relative to the elements, eV/atom: -0.1295
M_tot, μB per formula unit: 0.00
Electronic total energy, eV for the cell shown: -61.36

abc: 7.3820 7.3820 7.3820
angles: 109.47 109.47 109.47
Sites, in units of the cell vectors:
La (0.0000, 0.0000, 0.0000)
Be (0.0000, 0.5000, 0.0000)
Be (0.5000, 0.0000, 0.0000)
Be (0.5000, 0.5000, 0.5000)
Be (0.0000, 0.0000, 0.5000)
Au (0.8274, 0.3346, 0.1620)
Au (0.3346, 0.5072, 0.1726)
Au (0.8380, 0.1726, 0.6654)
Au (0.3346, 0.1620, 0.8274)
Au (0.1620, 0.8274, 0.3346)
Au (0.6654, 0.4928, 0.8274)
Au (0.5072, 0.1726, 0.3346)
Au (0.4928, 0.8274, 0.6654)
Au (0.6654, 0.8380, 0.1726)
Au (0.8274, 0.6654, 0.4928)
Au (0.1726, 0.3346, 0.5072)
Au (0.1726, 0.6654, 0.8380)

***

No. 2
Compound: LaBe2Au
Source: the Alexandria database
Functional: PBE-GGA
Structure: relaxed

Output
DOS(E_F), states/eV/cell: 7.38
Symmetry: No. 141
Energy relative to the elements, eV/atom: -0.1101
M_tot, μB per formula unit: 0.00
Electronic total energy, eV for the cell shown: -32.19

abc: 4.5835 4.5835 8.4845
angles: 74.33 74.33 90.00
Sites, in units of the cell vectors:
Be (0.8750, 0.1250, 0.2500)
Be (0.8750, 0.6250, 0.2500)
Be (0.3750, 0.1250, 0.7500)
Be (0.8750, 0.1250, 0.7500)
Au (0.0000, 0.0000, 0.0000)
Au (0.7500, 0.2500, 0.5000)
La (0.5000, 0.5000, 0.0000)
La (0.2500, 0.7500, 0.5000)

***

No. 3
Compound: LaBe2Au
Source: the Alexandria database
Functional: PBE-GGA
Structure: relaxed

Output
DOS(E_F), states/eV/cell: 3.73
Symmetry: No. 166
Energy relative to the elements, eV/atom: -0.3043
M_tot, μB per formula unit: 0.00
Electronic total energy, eV for the cell shown: -16.87

abc: 4.0165 4.0165 5.7713
angles: 69.64 69.64 59.92
Sites, in units of the cell vectors:
Be (0.9432, 0.9432, 0.1711)
Be (0.5568, 0.5568, 0.3289)
Au (0.2500, 0.2500, 0.2500)
La (0.7500, 0.7500, 0.7500)

***

No. 4
Compound: La2BeAu
Source: the Alexandria database
Functional: PBE-GGA
Structure: relaxed

Output
DOS(E_F), states/eV/cell: 4.57
Symmetry: No. 99
Energy relative to the elements, eV/atom: -0.0944
M_tot, μB per formula unit: 0.00
Electronic total energy, eV for the cell shown: -17.24

abc: 3.3572 3.3572 8.6615
angles: 90.00 90.00 90.02
Sites, in units of the cell vectors:
Be (0.5000, 0.5000, 0.6817)
Au (0.0000, 0.0000, 0.5708)
La (0.0000, 0.0000, 0.9348)
La (0.5000, 0.5000, 0.3127)